Here is a geometry-optimized TcIr3Ru structure from the Alexandria database. Energies are from GGA-PBE.

POSCAR file:
```
TcIr3Ru
1.0
2.6830 -4.2143 0.0000
2.6830 4.2143 0.0000
-2.1684 0.0000 6.6753
Tc Ir Ru
2 6 2
direct
0.1398 0.8602 0.0000
0.8602 0.1398 0.0000
0.0732 0.6252 0.3084
0.2134 0.2134 0.4287
0.3748 0.9268 0.6916
0.6252 0.0732 0.3084
0.7866 0.7866 0.5713
0.9268 0.3748 0.6916
0.4912 0.4912 0.1677
0.5088 0.5088 0.8323
```

Formation enthalpy at 0 K ... 191 meV/atom
ΔE to the lowest computed polymorph ... 0.288 eV per atom
DOS(E_F) ... 8.5 states/eV per cell
DFT total energy ... -9.054 eV/atom
Space group ... C2/m

***

Here is a geometry-optimized LaPRu2 structure from the Alexandria database. Energies are from GGA-PBE.

POSCAR file:
```
LaPRu2
1.0
4.0194 0.0000 0.0000
0.0000 4.0194 0.0000
0.0000 0.0000 4.8743
La P Ru
1 1 2
direct
0.0000 0.0000 0.0000
0.5000 0.5000 0.2860
0.0000 0.5000 0.5196
0.5000 0.0000 0.5196
```

Formation enthalpy at 0 K ... -453 meV/atom
DOS(E_F) ... 4.9 states/eV per cell
DFT total energy ... -7.676 eV/atom
Space group ... P4mm

***

Here is a geometry-optimized Tb11Er4Sc9 structure from the Alexandria database. Energies are from GGA-PBE.

POSCAR file:
```
Tb11Er4Sc9
1.0
8.0428 -12.2142 0.0000
8.0428 12.2142 0.0000
0.0000 0.0000 3.5476
Tb Er Sc
11 4 9
direct
0.0000 0.0000 0.0000
0.0392 0.4017 0.0000
0.1603 0.8397 0.0000
0.2858 0.2858 0.0000
0.3660 0.6340 0.0000
0.4017 0.0392 0.0000
0.5983 0.9608 0.0000
0.6340 0.3660 0.0000
0.7142 0.7142 0.0000
0.8397 0.1603 0.0000
0.9608 0.5983 0.0000
0.2420 0.4442 0.5000
0.4442 0.2420 0.5000
0.5558 0.7580 0.5000
0.7580 0.5558 0.5000
0.0667 0.2128 0.5000
0.1670 0.6314 0.5000
0.2128 0.0667 0.5000
0.3686 0.8330 0.5000
0.5000 0.5000 0.5000
0.6314 0.1670 0.5000
0.7872 0.9333 0.5000
0.8330 0.3686 0.5000
0.9333 0.7872 0.5000
```

Formation enthalpy at 0 K ... 94 meV/atom
DOS(E_F) ... 34.0 states/eV per cell
DFT total energy ... -5.163 eV/atom
Space group ... Cmmm

***

Repeat the third record exactly.
Here is a geometry-optimized Tb11Er4Sc9 structure from the Alexandria database. Energies are from GGA-PBE.

POSCAR file:
```
Tb11Er4Sc9
1.0
8.0428 -12.2142 0.0000
8.0428 12.2142 0.0000
0.0000 0.0000 3.5476
Tb Er Sc
11 4 9
direct
0.0000 0.0000 0.0000
0.0392 0.4017 0.0000
0.1603 0.8397 0.0000
0.2858 0.2858 0.0000
0.3660 0.6340 0.0000
0.4017 0.0392 0.0000
0.5983 0.9608 0.0000
0.6340 0.3660 0.0000
0.7142 0.7142 0.0000
0.8397 0.1603 0.0000
0.9608 0.5983 0.0000
0.2420 0.4442 0.5000
0.4442 0.2420 0.5000
0.5558 0.7580 0.5000
0.7580 0.5558 0.5000
0.0667 0.2128 0.5000
0.1670 0.6314 0.5000
0.2128 0.0667 0.5000
0.3686 0.8330 0.5000
0.5000 0.5000 0.5000
0.6314 0.1670 0.5000
0.7872 0.9333 0.5000
0.8330 0.3686 0.5000
0.9333 0.7872 0.5000
```

Formation enthalpy at 0 K ... 94 meV/atom
DOS(E_F) ... 34.0 states/eV per cell
DFT total energy ... -5.163 eV/atom
Space group ... Cmmm

***

Question: What is the formula in the second record?
Answer: LaPRu2

***

Question: Look up the formation enthalpy at 0 K of the first one.
Answer: 191 meV/atom